A geometry-optimized SbPd3S2 structure, computed with PBE-GGA.

abc: 6.264 6.794 6.794
angles: 125.13 99.32 99.32
Element x y z (fractional)
Sb  0.250  0.577  0.423
Sb  0.750  0.423  0.577
Pd  0.992  0.142  0.315
Pd  0.492  0.315  0.142
Pd  0.000  0.500  0.000
Pd  0.008  0.858  0.685
Pd  0.500  0.000  0.500
Pd  0.508  0.685  0.858
S  0.250  0.945  0.055
S  0.250  0.287  0.713
S  0.750  0.055  0.945
S  0.750  0.713  0.287

Calculated values
The total energy comes out at -0.1772 Ha/atom. The crystal system is monoclinic. Its formation energy from raw total energies is -0.163 eV per atom. The space-group type is No. 15. The value obtained for the size of the total moment is 0.0000 μB/atom.


A geometry-optimized Li2AgTe structure, computed with PBE-GGA.

abc: 7.961 7.961 7.961
angles: 26.01 26.01 26.01
Element x y z (fractional)
Ag  0.750  0.750  0.750
Li  0.000  0.000  0.000
Li  0.500  0.500  0.500
Te  0.250  0.250  0.250

Calculated values
The total energy comes out at -0.0999 Ha/atom. The crystal system is trigonal. Its formation energy from raw total energies is -0.264 eV per atom. The space-group type is No. 166. The value obtained for the size of the total moment is 0.0000 μB/atom.


A geometry-optimized AcY8Tm4 structure, computed with PBE-GGA.

abc: 6.929 6.929 11.399
angles: 90.00 107.69 120.00
Element x y z (fractional)
Ac  0.000  0.500  0.500
Y  0.591  0.796  0.387
Y  0.409  0.204  0.613
Y  0.495  0.247  0.257
Y  0.990  0.238  0.743
Y  0.505  0.753  0.743
Y  0.990  0.753  0.743
Y  0.010  0.247  0.257
Y  0.010  0.762  0.257
Tm  0.000  0.000  0.000
Tm  0.000  0.500  0.000
Tm  0.500  0.500  0.000
Tm  0.500  0.000  0.000

Calculated values
The total energy comes out at -0.1979 Ha/atom. The crystal system is trigonal. The value obtained for the formation energy from the elements is 3.68 eV per formula unit. The space-group type is No. 166. The value obtained for the size of the total moment is 0.0000 μB/atom.